1.
Computed, not measured: crystalline BaCeTlI6 at its relaxed geometry at the PBE-GGA level of DFT.

Computed properties:
The uncorrected energy comes out at -3.50 eV/atom. As for the raw formation energy: -11.96 eV/f.u.

a = 8.5584 Å, b = 8.5584 Å, c = 14.9237 Å
α = 90.00°, β = 90.00°, γ = 120.00°
With the nearest neighbours (Å) after each atom.
Fractional positions:
Tl1 0.0000 0.0000 0.0000  6 I 3.59
I1 0.3404 0.3689 0.8724  1 Ce 3.16, 1 Ba 3.47
Ba1 0.6667 0.3333 0.7500  6 I 3.47
I2 0.0284 0.6596 0.8724  1 Ce 3.16, 1 Ba 3.47
Ce1 0.3333 0.6667 0.7500  6 I 3.16
I3 0.9716 0.6311 0.3724  1 Ce 3.16, 1 Ba 3.47
I4 0.9716 0.3404 0.1276  1 Ce 3.16, 1 Ba 3.47
I5 0.6596 0.6311 0.1276  1 Ce 3.16, 1 Ba 3.47
Ce2 0.6667 0.3333 0.2500  6 I 3.16
I6 0.6311 0.6596 0.6276  1 Ce 3.16, 1 Ba 3.47
I7 0.6596 0.0284 0.3724  1 Ce 3.16, 1 Ba 3.47
Ba2 0.3333 0.6667 0.2500  6 I 3.47
I8 0.6311 0.9716 0.8724  1 Ce 3.16, 1 Ba 3.47
I9 0.3689 0.3404 0.3724  1 Ce 3.16, 1 Ba 3.47
I10 0.0284 0.3689 0.6276  1 Ce 3.16, 1 Ba 3.47
I11 0.3689 0.0284 0.1276  1 Ce 3.16, 1 Ba 3.47
I12 0.3404 0.9716 0.6276  1 Ce 3.16, 1 Ba 3.47
Tl2 0.0000 0.0000 0.5000  6 I 3.59

2.
Computed, not measured: crystalline BaCeIn2 at its relaxed geometry at the PBE-GGA level of DFT.

Computed properties:
As for the calculated formation energy: -105 meV/atom. The uncorrected energy comes out at -3.44 eV/atom.

a = 3.9112 Å, b = 3.9112 Å, c = 10.8381 Å
α = 79.60°, β = 79.60°, γ = 60.00°
With the nearest neighbours (Å) after each atom.
Fractional positions:
In1 0.7443 0.7443 0.7670  3 Ce 3.35, 3 Ba 3.62
In2 0.2557 0.2557 0.2330  3 Ce 3.35, 3 Ba 3.62
Ba1 0.5000 0.5000 0.5000  6 In 3.62, 6 Ba 3.91
Ce1 0.0000 0.0000 0.0000  6 In 3.35

3.
Computed, not measured: crystalline BaCeIn at its relaxed geometry at the PBE-GGA level of DFT.

Computed properties:
As for the calculated formation energy: -9 meV/atom. The uncorrected energy comes out at -3.54 eV/atom.

a = 3.8247 Å, b = 5.5706 Å, c = 5.5706 Å
α = 120.00°, β = 90.00°, γ = 90.00°
With the nearest neighbours (Å) after each atom.
Fractional positions:
Ce1 0.2908 0.6667 0.3333  3 In 3.35, 3 Ba 3.51
Ba1 0.6597 0.3333 0.6667  3 Ce 3.51, 3 In 3.54, 2 Ba 3.82
In1 0.0495 0.0000 0.0000  3 Ce 3.35, 3 Ba 3.54

4.
Computed, not measured: crystalline BaCeIn at its relaxed geometry at the PBE-GGA level of DFT.

Computed properties:
As for the calculated formation energy: -271 meV/atom. The uncorrected energy comes out at -3.80 eV/atom.

a = 3.9327 Å, b = 4.0650 Å, c = 13.6279 Å
α = 90.02°, β = 91.90°, γ = 90.00°
With the nearest neighbours (Å) after each atom.
Fractional positions:
Ce1 0.4557 0.7911 0.7036  2 Ce 2.79
Ba1 0.3877 0.7909 0.4004  4 In 3.61-3.69, 2 Ba 3.93
In1 0.3196 0.7913 0.9426  5 Ce 3.32-3.40, 4 Ba 3.61-3.69
Ba2 0.8572 0.2914 0.1119  4 In 3.61-3.69, 2 Ba 3.93
Ce2 0.7892 0.2912 0.8087  2 Ce 2.79
In2 0.9251 0.2909 0.5697  5 Ce 3.32-3.40, 4 Ba 3.61-3.69

5.
Computed, not measured: crystalline BaCeIn4 at its relaxed geometry at the PBE-GGA level of DFT.

Computed properties:
As for the calculated formation energy: -324 meV/atom. The uncorrected energy comes out at -3.46 eV/atom.

a = 6.2720 Å, b = 6.2720 Å, c = 6.2720 Å
α = 60.00°, β = 60.00°, γ = 60.00°
With the nearest neighbours (Å) after each atom.
Fractional positions:
Ba1 0.2500 0.2500 0.2500  12 In 3.68, 4 Ce 3.84
In1 0.6255 0.6255 0.6255  6 In 3.12-3.15
In2 0.6255 0.6255 0.1234  6 In 3.12-3.15
In3 0.6255 0.1234 0.6255  6 In 3.12-3.15
In4 0.1234 0.6255 0.6255  6 In 3.12-3.15
Ce1 0.0000 0.0000 0.0000  12 In 3.68, 4 Ba 3.84

6.
Computed, not measured: crystalline BaCeIn2 at its relaxed geometry at the PBE-GGA level of DFT.

Computed properties:
As for the calculated formation energy: -336 meV/atom. The uncorrected energy comes out at -3.67 eV/atom.

a = 4.0484 Å, b = 4.0484 Å, c = 8.2223 Å
α = 90.00°, β = 90.00°, γ = 90.00°
With the nearest neighbours (Å) after each atom.
Fractional positions:
Ba1 0.5000 0.5000 0.5000  8 In 3.71, 4 Ba 4.05, 2 Ce 4.11
In1 0.0000 0.0000 0.2125  4 Ce 3.35, 1 In 3.49, 4 Ba 3.71
In2 0.0000 0.0000 0.7875  4 Ce 3.35, 1 In 3.49, 4 Ba 3.71
Ce1 0.5000 0.5000 0.0000  8 In 3.35

7.
Computed, not measured: crystalline BaCeIn at its relaxed geometry at the PBE-GGA level of DFT.

Computed properties:
As for the calculated formation energy: -4 meV/atom. The uncorrected energy comes out at -3.54 eV/atom.

a = 6.4520 Å, b = 5.7541 Å, c = 7.7304 Å
α = 76.47°, β = 65.33°, γ = 55.90°
With the nearest neighbours (Å) after each atom.
Fractional positions:
Ba1 0.8261 0.3478 0.0000  3 Ba 3.31-3.54, 2 In 3.52
Ba2 0.1739 0.6522 0.0000  3 Ba 3.31-3.54, 2 In 3.52
In1 0.3826 0.0000 0.2348  1 In 3.30, 4 Ce 3.43, 2 Ba 3.52
Ce1 0.2500 0.5000 0.5000  2 Ce 3.23, 4 In 3.43
In2 0.6174 0.0000 0.7652  1 In 3.30, 4 Ce 3.43, 2 Ba 3.52
Ce2 0.7500 0.5000 0.5000  2 Ce 3.23, 4 In 3.43

8.
Computed, not measured: crystalline BaCeMgIn at its relaxed geometry at the PBE-GGA level of DFT.

Computed properties:
As for the calculated formation energy: -69 meV/atom. The uncorrected energy comes out at -3.12 eV/atom.

a = 5.7651 Å, b = 5.7651 Å, c = 5.7651 Å
α = 60.00°, β = 60.00°, γ = 60.00°
With the nearest neighbours (Å) after each atom.
Fractional positions:
Mg1 0.0000 0.0000 0.0000  4 Ce 3.53, 4 Ba 3.53
In1 0.5000 0.5000 0.5000  4 Ba 3.53, 4 Ce 3.53
Ce1 0.7500 0.7500 0.7500  4 In 3.53, 4 Mg 3.53
Ba1 0.2500 0.2500 0.2500  4 In 3.53, 4 Mg 3.53

9.
Computed, not measured: crystalline BaCeInN3 at its relaxed geometry at the PBE-GGA level of DFT.

Computed properties:
The uncorrected energy comes out at -6.52 eV/atom. As for the raw formation energy: -3.56 eV/f.u.

a = 3.6442 Å, b = 7.9562 Å, c = 8.5571 Å
α = 95.39°, β = 90.00°, γ = 90.00°
With the nearest neighbours (Å) after each atom.
Fractional positions:
Ba1 0.7500 0.8369 0.8075  5 N 2.88-2.97
In1 0.2500 0.1317 0.5919  4 N 2.18-2.32
N1 0.7500 0.4292 0.1133  3 Ce 2.19-2.40
Ce1 0.2500 0.6263 0.1418  5 N 2.19-2.40
N2 0.2500 0.8402 0.5467  3 In 2.20-2.32
Ce2 0.7500 0.3737 0.8582  5 N 2.19-2.40
N3 0.2500 0.5708 0.8867  3 Ce 2.19-2.40
In2 0.7500 0.8683 0.4081  4 N 2.18-2.32
N4 0.7500 0.8215 0.1531  1 In 2.18, 2 Ce 2.39
N5 0.2500 0.1785 0.8469  1 In 2.18, 2 Ce 2.39
Ba2 0.2500 0.1631 0.1925  5 N 2.88-2.97
N6 0.7500 0.1598 0.4533  3 In 2.20-2.32

10.
Computed, not measured: crystalline BaCe2InN4 at its relaxed geometry at the PBE-GGA level of DFT.

Computed properties:
The uncorrected energy comes out at -7.09 eV/atom. As for the raw formation energy: -6.89 eV/f.u.

a = 3.6874 Å, b = 6.5061 Å, c = 12.4276 Å
α = 90.00°, β = 90.00°, γ = 106.46°
With the nearest neighbours (Å) after each atom.
Fractional positions:
In1 0.8344 0.6688 0.7500  4 N 2.15-2.20
Ba1 0.0986 0.1972 0.7500  2 N 2.79
N1 0.4310 0.8620 0.7500  2 In 2.20
N2 0.7440 0.4880 0.8973  1 In 2.15, 1 Ce 2.29
N3 0.2560 0.5120 0.1027  1 In 2.15, 1 Ce 2.29
N4 0.5690 0.1380 0.2500  2 In 2.20
N5 0.0000 0.0000 0.0000  4 Ce 2.51
In2 0.1656 0.3312 0.2500  4 N 2.15-2.20
N6 0.0000 0.0000 0.5000  4 Ce 2.51
N7 0.7440 0.4880 0.6027  1 In 2.15, 1 Ce 2.29
Ce1 0.3700 0.7401 0.9583  5 N 2.29-2.54
N8 0.2560 0.5120 0.3973  1 In 2.15, 1 Ce 2.29
Ce2 0.3700 0.7401 0.5417  5 N 2.29-2.54
Ce3 0.6300 0.2599 0.4583  5 N 2.29-2.54
Ba2 0.9014 0.8028 0.2500  2 N 2.79
Ce4 0.6300 0.2599 0.0417  5 N 2.29-2.54

11.
Computed, not measured: crystalline BaCeNbInO6 at its relaxed geometry at the PBE-GGA level of DFT.

Computed properties:
The uncorrected energy comes out at -7.62 eV/atom. As for the raw formation energy: -25.82 eV/f.u.

a = 6.0706 Å, b = 6.0706 Å, c = 6.0706 Å
α = 60.00°, β = 60.00°, γ = 60.00°
With the nearest neighbours (Å) after each atom.
Fractional positions:
O1 0.7363 0.2637 0.2637  1 Nb 2.03, 1 Ce 2.26
O2 0.2637 0.2637 0.7363  1 Nb 2.03, 1 Ce 2.26
O3 0.2637 0.7363 0.2637  1 Nb 2.03, 1 Ce 2.26
O4 0.2637 0.7363 0.7363  1 Nb 2.03, 1 Ce 2.26
Nb1 0.5000 0.5000 0.5000  6 O 2.03
In1 0.2500 0.2500 0.2500  12 O 3.04
Ce1 0.0000 0.0000 0.0000  6 O 2.26
Ba1 0.7500 0.7500 0.7500  12 O 3.04
O5 0.7363 0.2637 0.7363  1 Nb 2.03, 1 Ce 2.26
O6 0.7363 0.7363 0.2637  1 Nb 2.03, 1 Ce 2.26

12.
Computed, not measured: crystalline Ba3CeIn2O9 at its relaxed geometry at the PBE-GGA level of DFT.

Computed properties:
The uncorrected energy comes out at -6.34 eV/atom. As for the raw formation energy: -33.33 eV/f.u.

a = 6.1315 Å, b = 6.1315 Å, c = 7.5359 Å
α = 90.00°, β = 90.00°, γ = 120.00°
With the nearest neighbours (Å) after each atom.
Fractional positions:
O1 0.5000 0.5000 0.0000  2 In 2.17
In1 0.6667 0.3333 0.8346  6 O 2.15-2.17
O2 0.8328 0.6656 0.6711  1 In 2.15, 1 Ce 2.19
Ba1 0.0000 0.0000 0.0000  12 O 3.05-3.07
O3 0.8328 0.1672 0.6711  1 In 2.15, 1 Ce 2.19
O4 0.0000 0.5000 0.0000  2 In 2.17
Ce1 0.0000 0.0000 0.5000  6 O 2.19
In2 0.3333 0.6667 0.1654  6 O 2.15-2.17
O5 0.1672 0.8328 0.3289  1 In 2.15, 1 Ce 2.19
Ba2 0.6667 0.3333 0.3183  12 O 2.98-3.19
O6 0.5000 0.0000 0.0000  2 In 2.17
Ba3 0.3333 0.6667 0.6817  12 O 2.98-3.19
O7 0.1672 0.3344 0.3289  1 In 2.15, 1 Ce 2.19
O8 0.6656 0.8328 0.3289  1 In 2.15, 1 Ce 2.19
O9 0.3344 0.1672 0.6711  1 In 2.15, 1 Ce 2.19

Copy entry 6 word for word.
Computed, not measured: crystalline BaCeIn2 at its relaxed geometry at the PBE-GGA level of DFT.

Computed properties:
As for the calculated formation energy: -336 meV/atom. The uncorrected energy comes out at -3.67 eV/atom.

a = 4.0484 Å, b = 4.0484 Å, c = 8.2223 Å
α = 90.00°, β = 90.00°, γ = 90.00°
With the nearest neighbours (Å) after each atom.
Fractional positions:
Ba1 0.5000 0.5000 0.5000  8 In 3.71, 4 Ba 4.05, 2 Ce 4.11
In1 0.0000 0.0000 0.2125  4 Ce 3.35, 1 In 3.49, 4 Ba 3.71
In2 0.0000 0.0000 0.7875  4 Ce 3.35, 1 In 3.49, 4 Ba 3.71
Ce1 0.5000 0.5000 0.0000  8 In 3.35

Repeat the seventh record exactly.
Computed, not measured: crystalline BaCeIn at its relaxed geometry at the PBE-GGA level of DFT.

Computed properties:
As for the calculated formation energy: -4 meV/atom. The uncorrected energy comes out at -3.54 eV/atom.

a = 6.4520 Å, b = 5.7541 Å, c = 7.7304 Å
α = 76.47°, β = 65.33°, γ = 55.90°
With the nearest neighbours (Å) after each atom.
Fractional positions:
Ba1 0.8261 0.3478 0.0000  3 Ba 3.31-3.54, 2 In 3.52
Ba2 0.1739 0.6522 0.0000  3 Ba 3.31-3.54, 2 In 3.52
In1 0.3826 0.0000 0.2348  1 In 3.30, 4 Ce 3.43, 2 Ba 3.52
Ce1 0.2500 0.5000 0.5000  2 Ce 3.23, 4 In 3.43
In2 0.6174 0.0000 0.7652  1 In 3.30, 4 Ce 3.43, 2 Ba 3.52
Ce2 0.7500 0.5000 0.5000  2 Ce 3.23, 4 In 3.43

Q: The lowest uncorrected energy belongs to which entry?
A: BaCeNbInO6